The following is a PBE-GGA calculation of a relaxed structure of TbSbPd14, from Alexandria.

Computed properties:
Space group = P4/mmm (123)
Raw formation energy = -304.7 meV per atom

CIF file:
```
data_TbSbPd14
_symmetry_space_group_name_H-M 'P 1'
_symmetry_Int_Tables_number 1
_symmetry_space_group_name_Hall 'P 1'
_cell_length_a 5.743
_cell_length_b 5.743
_cell_length_c 7.880
_cell_angle_alpha 90.00
_cell_angle_beta 90.00
_cell_angle_gamma 90.00
loop_
_atom_site_label
_atom_site_type_symbol
_atom_site_fract_x
_atom_site_fract_y
_atom_site_fract_z
Tb1 Tb 0.375 0.375 0.500
Sb1 Sb 0.875 0.875 0.500
Pd1 Pd 0.875 0.875 0.000
Pd2 Pd 0.375 0.375 0.000
Pd3 Pd 0.875 0.375 0.500
Pd4 Pd 0.875 0.375 0.000
Pd5 Pd 0.375 0.875 0.500
Pd6 Pd 0.375 0.875 0.000
Pd7 Pd 0.628 0.122 0.245
Pd8 Pd 0.628 0.122 0.755
Pd9 Pd 0.122 0.628 0.245
Pd10 Pd 0.122 0.628 0.755
Pd11 Pd 0.628 0.628 0.246
Pd12 Pd 0.628 0.628 0.754
Pd13 Pd 0.122 0.122 0.246
Pd14 Pd 0.122 0.122 0.754
```